No. 1
A crystal of Ni2TeSe2 relaxed with PBEsol, computed with meta-GGA SCAN.

Structure (POSCAR):
```
Ni2TeSe2
1.0
-1.746 1.746 7.703
1.746 -1.746 7.703
1.746 1.746 -7.703
Ni Te Se
2 1 2
Direct
0.250 0.750 0.500
0.750 0.250 0.500
0.000 0.000 0.000
0.351 0.351 0.000
0.649 0.649 0.000
```

Results
Formation energy from raw total energies ... -0.03 eV per atom
Uncorrected energy ... -109.914 eV per cell
E above lowest polymorph ... 0.0 meV/atom
Magnetic moment ... 0.004 μB/f.u.

---

No. 2
A crystal of SiIN2 relaxed with PBEsol, computed with meta-GGA SCAN.

Structure (POSCAR):
```
SiIN2
1.0
1.506 0.869 6.282
-1.506 0.869 6.282
0.000 -1.739 6.282
Si I N
1 1 2
Direct
0.000 0.000 0.000
0.500 0.500 0.500
0.382 0.382 0.382
0.618 0.618 0.618
```

Results
Formation energy from raw total energies ... 0.29 eV per atom
Uncorrected energy ... -64.191 eV per cell
Magnetic moment ... 0.000 μB/f.u.

---

No. 3
A crystal of LuWO4 relaxed with PBEsol, computed with meta-GGA SCAN.

Structure (POSCAR):
```
LuWO4
1.0
-2.549 2.549 5.310
2.549 -2.549 5.310
2.549 2.549 -5.310
Lu W O
2 2 8
Direct
0.375 0.125 0.250
0.625 0.875 0.750
0.125 0.375 0.750
0.875 0.625 0.250
0.021 0.208 0.304
0.218 0.521 0.313
0.292 0.095 0.813
0.405 0.718 0.196
0.595 0.282 0.804
0.708 0.905 0.187
0.782 0.479 0.687
0.979 0.792 0.696
```

Results
Formation energy from raw total energies ... -2.94 eV per atom
Uncorrected energy ... -335.161 eV per cell
E above lowest polymorph ... 15.3 meV/atom
Magnetic moment ... 1.001 μB/f.u.

---

No. 4
A crystal of Tc2AgW relaxed with PBEsol, computed with meta-GGA SCAN.

Structure (POSCAR):
```
Tc2AgW
1.0
1.379 0.796 9.200
-1.379 0.796 9.200
0.000 -1.592 9.200
Tc Ag W
2 1 1
Direct
0.246 0.246 0.246
0.754 0.754 0.754
0.000 0.000 0.000
0.500 0.500 0.500
```

Results
Uncorrected energy ... -169.763 eV per cell
E above lowest polymorph ... 0.0 meV/atom
Magnetic moment ... 0.000 μB/f.u.